This record from Alexandria via LeMat-Bulk describes Ba6Zn7F26 after structural relaxation. The functional is PBE-GGA.

abc: 10.3242 10.3242 12.4911
angles: 53.82 53.82 33.87
Fractional coordinates of all 39 atoms:
1 Ba 0.6583 0.6583 0.1018
2 Ba 0.3417 0.3417 0.8982
3 Ba 0.3587 0.3587 0.4047
4 Ba 0.6413 0.6413 0.5953
5 Ba 0.8523 0.8523 0.1545
6 Ba 0.1477 0.1477 0.8455
7 Zn 0.7446 0.2554 0.5000
8 Zn 0.2554 0.7446 0.5000
9 Zn 0.0193 0.0193 0.2144
10 Zn 0.9807 0.9807 0.7856
11 Zn 0.2214 0.2214 0.2913
12 Zn 0.7786 0.7786 0.7087
13 Zn 0.5000 0.5000 0.0000
14 F 0.3758 0.3758 0.1676
15 F 0.6242 0.6242 0.8324
16 F 0.0890 0.0890 0.4223
17 F 0.9110 0.9110 0.5777
18 F 0.1470 0.1470 0.0804
19 F 0.8530 0.8530 0.9196
20 F 0.8934 0.8934 0.3188
21 F 0.1066 0.1066 0.6812
22 F 0.5906 0.5906 0.4253
23 F 0.4094 0.4094 0.5747
24 F 0.7184 0.2221 0.9195
25 F 0.7779 0.2816 0.0805
26 F 0.2816 0.7779 0.0805
27 F 0.9949 0.5206 0.6167
28 F 0.4794 0.0051 0.3833
29 F 0.0051 0.4794 0.3833
30 F 0.5206 0.9949 0.6167
31 F 0.9824 0.5243 0.8493
32 F 0.4757 0.0176 0.1507
33 F 0.0176 0.4757 0.1507
34 F 0.5243 0.9824 0.8493
35 F 0.2531 0.7194 0.6782
36 F 0.2806 0.7469 0.3218
37 F 0.7469 0.2806 0.3218
38 F 0.7194 0.2531 0.6782
39 F 0.2221 0.7184 0.9195

Values from the calculation:
D(E_F) = 0.000 states/eV per atom
Electronic total energy = -187.9 eV for the cell shown
Uncorrected formation energy = -3.045 eV/atom